(1)
Rb2Cd2O5: relaxed, PBE-GGA.

Summary:
energy above the most stable polymorph in this dataset	907.9	meV/atom
VASP energy	-24.71	eV per formula unit
crystal system	tetragonal

Lattice parameters (Å, degrees): 8.075 4.366 4.366 90.00 90.00 90.00
Atoms (fractional coordinates):
O  0.176  0.500  0.000
O  0.824  0.500  0.000
O  0.824  0.000  0.500
O  0.500  0.500  0.500
O  0.176  0.000  0.500
Cd  0.500  0.000  0.000
Cd  0.000  0.000  0.000
Rb  0.803  0.500  0.500
Rb  0.197  0.500  0.500


(2)
TmPuAs: relaxed, PBE-GGA.

Summary:
energy above the most stable polymorph in this dataset	0.0	meV/atom
VASP energy	-24.99	eV per formula unit
spin magnetization	6.69	μB per cell
crystal system	cubic

Lattice parameters (Å, degrees): 4.820 4.820 4.820 60.00 60.00 60.00
Atoms (fractional coordinates):
Pu  0.250  0.250  0.250
Tm  0.750  0.750  0.750
As  0.000  0.000  0.000


(3)
HoMgZnN2: relaxed, PBE-GGA.

Summary:
VASP energy	-27.07	eV per formula unit
spin magnetization	0.03	μB per cell
crystal system	trigonal

Lattice parameters (Å, degrees): 3.439 3.439 6.265 90.00 90.00 120.00
Atoms (fractional coordinates):
Mg  0.000  0.000  0.131
Ho  0.333  0.667  0.499
Zn  0.667  0.333  0.843
N  0.000  0.000  0.762
N  0.667  0.333  0.265


(4)
CsPtO3: relaxed, PBE-GGA.

Summary:
VASP energy	-22.05	eV per formula unit
spin magnetization	0.00	μB per cell
crystal system	tetragonal

Lattice parameters (Å, degrees): 3.981 3.981 5.475 90.00 90.00 90.00
Atoms (fractional coordinates):
Cs  0.500  0.500  0.385
O  0.500  0.000  0.856
O  0.000  0.500  0.856
O  0.500  0.500  0.879
Pt  0.000  0.000  0.924